! LaTlCd2 (PBE, optimized geometry); values from VASP
&SYSTEM
  ibrav = 0, nat = 4, ntyp = 3
/
ATOMIC_SPECIES
La 138.91 La.upf
Tl 204.38 Tl.upf
Cd 112.41 Cd.upf
CELL_PARAMETERS angstrom
3.7403 0.0000 0.0000
0.0000 3.7403 0.0000
0.0000 0.0000 7.7680
ATOMIC_POSITIONS crystal
La 0.0000 0.0000 0.0000
Tl 0.5000 0.5000 0.2824
Cd 0.0000 0.0000 0.5195
Cd 0.5000 0.5000 0.7231
! DFT formation energy = -0.196 eV/atom
! V = 27.17 Å³ per atom
! Space group = P4mm (99)
! Magnetization = 0.00 μB per formula unit
! Uncorrected energy = -9.91 eV for the cell shown


! KCaCl2 (PBE, optimized geometry); values from VASP
&SYSTEM
  ibrav = 0, nat = 4, ntyp = 3
/
ATOMIC_SPECIES
K 39.10 K.upf
Ca 40.08 Ca.upf
Cl 35.45 Cl.upf
CELL_PARAMETERS angstrom
4.0630 0.0000 0.0000
0.0000 4.0630 0.0000
0.0000 0.0000 8.2724
ATOMIC_POSITIONS crystal
K 0.0000 0.0000 0.0000
Ca 0.5000 0.5000 0.5156
Cl 0.0000 0.0000 0.5393
Cl 0.5000 0.5000 0.8412
! V = 34.14 Å³ per atom
! Space group = P4mm (99)
! Magnetization = 0.01 μB per formula unit
! Uncorrected energy = -13.51 eV for the cell shown
! Uncorrected formation energy = -1.68 eV per atom


! Ca2HoNpSb4 (PBE, optimized geometry); values from VASP
&SYSTEM
  ibrav = 0, nat = 8, ntyp = 4
/
ATOMIC_SPECIES
Ca 40.08 Ca.upf
Ho 164.93 Ho.upf
Np 237.00 Np.upf
Sb 121.76 Sb.upf
CELL_PARAMETERS angstrom
7.6597 0.0000 0.0000
0.0000 4.4778 0.0000
-2.5905 0.0000 7.2912
ATOMIC_POSITIONS crystal
Ca 0.0000 0.0000 0.0000
Ca 0.5000 0.5000 0.0000
Ho 0.0000 0.5000 0.5000
Np 0.5000 0.0000 0.5000
Sb 0.2493 0.0000 0.7346
Sb 0.2583 0.5000 0.2666
Sb 0.7417 0.5000 0.7334
Sb 0.7507 0.0000 0.2654
! V = 31.26 Å³ per atom
! Space group = P2/m (10)
! Magnetization = 2.60 μB per formula unit
! Uncorrected energy = -43.94 eV for the cell shown
! Uncorrected formation energy = -0.74 eV per atom


! Hf2CuGeO (PBE, optimized geometry); values from VASP
&SYSTEM
  ibrav = 0, nat = 5, ntyp = 4
/
ATOMIC_SPECIES
Hf 178.49 Hf.upf
Cu 63.55 Cu.upf
Ge 72.64 Ge.upf
O 16.00 O.upf
CELL_PARAMETERS angstrom
4.9987 0.0000 0.0000
0.0000 4.9987 0.0000
0.0000 0.0000 4.2014
ATOMIC_POSITIONS crystal
Hf 0.0000 0.5000 0.0000
Hf 0.5000 0.0000 0.0000
Cu 0.0000 0.0000 0.5000
Ge 0.0000 0.0000 0.0000
O 0.5000 0.5000 0.5000
! V = 21.00 Å³ per atom
! Space group = P4/mmm (123)
! Magnetization = 0.00 μB per formula unit
! Uncorrected energy = -29.94 eV for the cell shown
! Uncorrected formation energy = 0.73 eV per atom


! SrZn2Ir (PBE, optimized geometry); values from VASP
&SYSTEM
  ibrav = 0, nat = 4, ntyp = 3
/
ATOMIC_SPECIES
Sr 87.62 Sr.upf
Zn 65.41 Zn.upf
Ir 192.22 Ir.upf
CELL_PARAMETERS angstrom
-2.3548 2.3548 3.5770
2.3548 -2.3548 3.5770
2.3548 2.3548 -3.5770
ATOMIC_POSITIONS crystal
Sr 0.0000 0.0000 0.0000
Zn 0.2500 0.7500 0.5000
Zn 0.5000 0.5000 0.0000
Ir 0.7500 0.2500 0.5000
! DFT formation energy = 0.149 eV/atom
! V = 19.83 Å³ per atom
! Space group = I-4m2 (119)
! Magnetization = 0.00 μB per formula unit
! Uncorrected energy = -12.49 eV for the cell shown


! K3Pm2ZnO6 (PBE, optimized geometry); values from VASP
&SYSTEM
  ibrav = 0, nat = 12, ntyp = 4
/
ATOMIC_SPECIES
K 39.10 K.upf
Pm 145.00 Pm.upf
Zn 65.41 Zn.upf
O 16.00 O.upf
CELL_PARAMETERS angstrom
2.9438 -5.5223 0.0000
2.9438 5.5223 0.0000
-1.7410 0.0000 6.2784
ATOMIC_POSITIONS crystal
K 0.0000 0.0000 0.0000
K 0.3441 0.6559 0.0000
K 0.6559 0.3441 0.0000
Pm 0.1651 0.8349 0.5000
Pm 0.8349 0.1651 0.5000
Zn 0.5000 0.5000 0.5000
O 0.0701 0.4354 0.2883
O 0.2607 0.2607 0.6589
O 0.4354 0.0701 0.2883
O 0.5646 0.9299 0.7117
O 0.7393 0.7393 0.3411
O 0.9299 0.5646 0.7117
! V = 17.01 Å³ per atom
! Space group = C2/m (12)
! Magnetization = 1.10 μB per formula unit
! Uncorrected energy = -68.31 eV for the cell shown
! Uncorrected formation energy = -2.04 eV per atom


! ScTlAg2 (PBE, optimized geometry); values from VASP
&SYSTEM
  ibrav = 0, nat = 4, ntyp = 3
/
ATOMIC_SPECIES
Sc 44.96 Sc.upf
Tl 204.38 Tl.upf
Ag 107.87 Ag.upf
CELL_PARAMETERS angstrom
1.6590 0.9578 9.1871
-1.6590 0.9578 9.1871
0.0000 -1.9156 9.1871
ATOMIC_POSITIONS crystal
Sc 0.0000 0.0000 0.0000
Tl 0.7577 0.7577 0.7577
Ag 0.2543 0.2543 0.2543
Ag 0.5089 0.5089 0.5089
! DFT formation energy = 0.039 eV/atom
! V = 21.90 Å³ per atom
! Space group = R3m (160)
! Magnetization = 0.00 μB per formula unit
! Uncorrected energy = -14.25 eV for the cell shown


! BaNiSe (PBE, optimized geometry); values from VASP
&SYSTEM
  ibrav = 0, nat = 3, ntyp = 3
/
ATOMIC_SPECIES
Ba 137.33 Ba.upf
Ni 58.69 Ni.upf
Se 78.96 Se.upf
CELL_PARAMETERS angstrom
-2.2301 2.2301 4.4556
2.2301 -2.2301 4.4556
2.2301 2.2301 -4.4556
ATOMIC_POSITIONS crystal
Ba 0.0000 0.0000 0.0000
Ni 0.3941 0.3941 0.0000
Se 0.6410 0.6410 0.0000
! V = 29.55 Å³ per atom
! Space group = I4mm (107)
! Magnetization = 0.00 μB per formula unit
! Uncorrected energy = -12.60 eV for the cell shown
! Uncorrected formation energy = -0.47 eV per atom


! Tm8MnSn2 (PBE, optimized geometry); values from VASP
&SYSTEM
  ibrav = 0, nat = 11, ntyp = 3
/
ATOMIC_SPECIES
Tm 168.93 Tm.upf
Mn 54.94 Mn.upf
Sn 118.71 Sn.upf
CELL_PARAMETERS angstrom
-2.7239 3.3995 7.7088
2.7239 -3.3995 7.7088
2.7239 3.3995 -7.7088
ATOMIC_POSITIONS crystal
Tm 0.1386 0.3784 0.7602
Tm 0.1925 0.1925 0.0000
Tm 0.2416 0.0000 0.2416
Tm 0.3819 0.6216 0.7602
Tm 0.6181 0.3784 0.2398
Tm 0.7584 0.0000 0.7584
Tm 0.8075 0.8075 0.0000
Tm 0.8614 0.6216 0.2398
Mn 0.0000 0.5000 0.5000
Sn 0.3138 0.8138 0.5000
Sn 0.6862 0.1862 0.5000
! DFT formation energy = -0.238 eV/atom
! V = 25.96 Å³ per atom
! Space group = Immm (71)
! Magnetization = 0.00 μB per formula unit
! Uncorrected energy = -55.56 eV for the cell shown


! VBi2P (PBE, optimized geometry); values from VASP
&SYSTEM
  ibrav = 0, nat = 8, ntyp = 3
/
ATOMIC_SPECIES
V 50.94 V.upf
Bi 208.98 Bi.upf
P 30.97 P.upf
CELL_PARAMETERS angstrom
-3.1893 3.1893 6.3203
3.1893 -3.1893 6.3203
3.1893 3.1893 -6.3203
ATOMIC_POSITIONS crystal
V 0.0000 0.0000 0.0000
V 0.7500 0.2500 0.5000
Bi 0.1248 0.6250 0.9998
Bi 0.3750 0.3748 0.4998
Bi 0.6252 0.1250 0.0002
Bi 0.8750 0.8752 0.5002
P 0.2500 0.7500 0.5000
P 0.5000 0.5000 0.0000
! DFT formation energy = 0.659 eV/atom
! V = 32.14 Å³ per atom
! Space group = I-42d (122)
! Magnetization = 2.56 μB per formula unit
! Uncorrected energy = -39.31 eV for the cell shown


! NaSr2Zn3Au4 (PBE, optimized geometry); values from VASP
&SYSTEM
  ibrav = 0, nat = 10, ntyp = 4
/
ATOMIC_SPECIES
Na 22.99 Na.upf
Sr 87.62 Sr.upf
Zn 65.41 Zn.upf
Au 196.97 Au.upf
CELL_PARAMETERS angstrom
4.6248 0.0000 0.0000
0.0000 4.6248 0.0000
0.0000 0.0000 10.8282
ATOMIC_POSITIONS crystal
Na 0.0000 0.0000 0.0000
Sr 0.0000 0.5000 0.7331
Sr 0.5000 0.0000 0.2669
Zn 0.0000 0.5000 0.3840
Zn 0.5000 0.0000 0.6160
Zn 0.5000 0.5000 0.0000
Au 0.0000 0.0000 0.5000
Au 0.0000 0.5000 0.1473
Au 0.5000 0.0000 0.8527
Au 0.5000 0.5000 0.5000
! DFT formation energy = -0.475 eV/atom
! V = 23.16 Å³ per atom
! Space group = P-4m2 (115)
! Magnetization = 0.00 μB per formula unit
! Uncorrected energy = -26.36 eV for the cell shown


! FeRuI3 (PBE, optimized geometry); values from VASP
&SYSTEM
  ibrav = 0, nat = 5, ntyp = 3
/
ATOMIC_SPECIES
Fe 55.84 Fe.upf
Ru 101.07 Ru.upf
I 126.90 I.upf
CELL_PARAMETERS angstrom
5.4018 0.0000 0.0000
0.0000 5.4018 0.0000
0.0000 0.0000 5.4018
ATOMIC_POSITIONS crystal
Fe 0.0000 0.0000 0.0000
Ru 0.5000 0.5000 0.5000
I 0.0000 0.5000 0.5000
I 0.5000 0.0000 0.5000
I 0.5000 0.5000 0.0000
! V = 31.52 Å³ per atom
! Space group = Pm-3m (221)
! Magnetization = 3.32 μB per formula unit
! Uncorrected energy = -17.83 eV for the cell shown
! Uncorrected formation energy = 0.91 eV per atom


! PmYScCd (PBE, optimized geometry); values from VASP
&SYSTEM
  ibrav = 0, nat = 4, ntyp = 4
/
ATOMIC_SPECIES
Pm 145.00 Pm.upf
Y 88.91 Y.upf
Sc 44.96 Sc.upf
Cd 112.41 Cd.upf
CELL_PARAMETERS angstrom
0.0000 3.8155 3.8155
3.8155 0.0000 3.8155
3.8155 3.8155 0.0000
ATOMIC_POSITIONS crystal
Pm 0.0000 0.0000 0.0000
Y 0.5000 0.5000 0.5000
Sc 0.7500 0.7500 0.7500
Cd 0.2500 0.2500 0.2500
! DFT formation energy = -0.059 eV/atom
! V = 27.77 Å³ per atom
! Space group = F-43m (216)
! Magnetization = 0.15 μB per formula unit
! Uncorrected energy = -18.70 eV for the cell shown